8
Lattice="5.862 0.000 0.000 0.000 3.383 0.000 -1.939 0.000 5.540" Properties=species:S:1:pos:R:3 comment="DyEr2ZrN4, optimized geometry, DFT PBE" energy_ha_per_atom=-0.320 space_group="No. 10" e_form_raw_ev_per_atom=-1.77 pbc="T T T"
Dy 0.000 0.000 0.000
Er 1.962 0.000 2.770
Er 2.931 1.691 0.000
Zr -0.969 1.691 2.770
N -0.020 0.000 4.093
N 0.939 1.691 1.432
N 2.984 1.691 4.107
N 3.943 0.000 1.446